P | Here is a geometry-optimized KP2Ir structure from the Alexandria database. Energies are from PBE-GGA.

SG = No. 8
Total magnetic moment = 0.00 μB/f.u.

abc: 5.076 5.076 6.070
angles: 103.63 103.63 38.64
Fractional positions:
K: 0.000 0.000 0.000
P: 0.193 0.193 0.586
P: 0.465 0.465 0.507
Ir: 0.791 0.791 0.411


Q | Here is a geometry-optimized KP2Ir structure from the Alexandria database. Energies are from PBE-GGA.

SG = No. 123
Total magnetic moment = 0.00 μB/f.u.

abc: 3.283 3.283 7.068
angles: 90.00 90.00 90.00
Fractional positions:
K: 0.000 0.000 0.000
P: 0.500 0.500 0.339
P: 0.500 0.500 0.661
Ir: 0.000 0.000 0.500


Q: Which of them is the most stable? A: P.


P | Here is a geometry-optimized KPIr3 structure from the Alexandria database. Energies are from PBE-GGA.

SG = No. 221
Total magnetic moment = 0.00 μB/f.u.

abc: 4.524 4.524 4.524
angles: 90.00 90.00 90.00
Fractional positions:
K: 0.000 0.000 0.000
P: 0.500 0.500 0.500
Ir: 0.000 0.500 0.500
Ir: 0.500 0.000 0.500
Ir: 0.500 0.500 0.000


Q | Here is a geometry-optimized KPIr3 structure from the Alexandria database. Energies are from PBE-GGA.

SG = No. 221
Total magnetic moment = 1.40 μB/f.u.

abc: 4.709 4.709 4.709
angles: 90.00 90.00 90.00
Fractional positions:
K: 0.000 0.000 0.000
P: 0.500 0.500 0.500
Ir: 0.000 0.000 0.500
Ir: 0.000 0.500 0.000
Ir: 0.500 0.000 0.000


Q: Which of them is the most stable? A: P.


P | Here is a geometry-optimized KP3Ir structure from the Alexandria database. Energies are from PBE-GGA.

SG = No. 221
Total magnetic moment = 0.00 μB/f.u.

abc: 4.899 4.899 4.899
angles: 90.00 90.00 90.00
Fractional positions:
K: 0.000 0.000 0.000
P: 0.000 0.000 0.500
P: 0.000 0.500 0.000
P: 0.500 0.000 0.000
Ir: 0.500 0.500 0.500


Q | Here is a geometry-optimized KP3Ir structure from the Alexandria database. Energies are from PBE-GGA.

SG = No. 221
Total magnetic moment = 0.00 μB/f.u.

abc: 4.787 4.787 4.787
angles: 90.00 90.00 90.00
Fractional positions:
K: 0.000 0.000 0.000
P: 0.000 0.500 0.500
P: 0.500 0.000 0.500
P: 0.500 0.500 0.000
Ir: 0.500 0.500 0.500


Q: Which of them is the most stable? A: Q.


P | Here is a geometry-optimized KIr2Pd structure from the Alexandria database. Energies are from PBE-GGA.

SG = No. 122
Total magnetic moment = 0.00 μB/f.u.

abc: 9.819 9.819 9.819
angles: 151.96 151.96 40.07
Fractional positions:
K: 0.000 0.000 0.000
K: 0.750 0.250 0.500
Ir: 0.345 0.125 0.720
Ir: 0.375 0.655 0.780
Ir: 0.405 0.625 0.280
Ir: 0.875 0.595 0.220
Pd: 0.250 0.750 0.500
Pd: 0.500 0.500 0.000


Q | Here is a geometry-optimized KIr2Pd structure from the Alexandria database. Energies are from PBE-GGA.

SG = No. 225
Total magnetic moment = 2.13 μB/f.u.

abc: 4.641 4.641 4.641
angles: 60.00 60.00 60.00
Fractional positions:
K: 0.000 0.000 0.000
Ir: 0.250 0.250 0.250
Ir: 0.750 0.750 0.750
Pd: 0.500 0.500 0.500


Q: Which of them is the most stable? A: P.